This record from Alexandria describes a geometry-optimized Li3Al3AgPd2 structure. The functional is PBE-GGA.

As for the volume: 134.3 Å³ per cell. The symmetry is P-62m, No. 189. The value obtained for the formation energy is -0.47 eV per atom. The calculation puts the spin magnetization at 0.00 μB per formula unit.

Structure (CIF):
```
data_Li3Al3AgPd2
_cell_length_a 2.815
_cell_length_b 7.421
_cell_length_c 7.421
_cell_angle_alpha 120.00
_cell_angle_beta 90.00
_cell_angle_gamma 90.00
_space_group_name_H-M_alt 'P 1'
_space_group_IT_number 1
loop_
_space_group_symop_operation_xyz
'x,y,z'
loop_
_atom_site_label
_atom_site_fract_x
_atom_site_fract_y
_atom_site_fract_z
_atom_site_occupancy
Li1 0.500 0.704 0.000 1
Li2 0.500 0.000 0.704 1
Li3 0.500 0.296 0.296 1
Al1 0.000 0.621 0.621 1
Al2 0.000 0.000 0.379 1
Al3 0.000 0.379 0.000 1
Ag1 0.000 0.000 0.000 1
Pd1 0.500 0.667 0.333 1
Pd2 0.500 0.333 0.667 1
```

---

This record from Alexandria describes a geometry-optimized LiPmAl2Ag4 structure. The functional is PBE-GGA.

As for the volume: 151.4 Å³ per cell. The symmetry is R-3m, No. 166. The value obtained for the formation energy is -0.25 eV per atom. The calculation puts the spin magnetization at 0.00 μB per formula unit.

Structure (CIF):
```
data_LiPmAl2Ag4
_cell_length_a 4.542
_cell_length_b 4.542
_cell_length_c 8.871
_cell_angle_alpha 75.17
_cell_angle_beta 75.17
_cell_angle_gamma 60.00
_space_group_name_H-M_alt 'P 1'
_space_group_IT_number 1
loop_
_space_group_symop_operation_xyz
'x,y,z'
loop_
_atom_site_label
_atom_site_fract_x
_atom_site_fract_y
_atom_site_fract_z
_atom_site_occupancy
Li1 0.500 0.500 0.500 1
Pm1 0.000 0.000 0.000 1
Al1 0.756 0.756 0.732 1
Al2 0.244 0.244 0.268 1
Ag1 0.400 0.400 0.800 1
Ag2 0.868 0.868 0.397 1
Ag3 0.132 0.132 0.603 1
Ag4 0.600 0.600 0.200 1
```

---

This record from Alexandria describes a geometry-optimized LiPmAlAg6 structure. The functional is PBE-GGA.

As for the volume: 369.9 Å³ per cell. The symmetry is Imma, No. 74. The value obtained for the formation energy is 0.00 eV per atom. The calculation puts the spin magnetization at 0.00 μB per formula unit.

Structure (CIF):
```
data_LiPmAlAg6
_cell_length_a 7.317
_cell_length_b 9.189
_cell_length_c 8.047
_cell_angle_alpha 124.81
_cell_angle_beta 117.04
_cell_angle_gamma 90.00
_space_group_name_H-M_alt 'P 1'
_space_group_IT_number 1
loop_
_space_group_symop_operation_xyz
'x,y,z'
loop_
_atom_site_label
_atom_site_fract_x
_atom_site_fract_y
_atom_site_fract_z
_atom_site_occupancy
Li1 0.500 0.000 0.500 1
Li2 0.000 0.000 0.500 1
Pm1 0.707 0.457 0.414 1
Pm2 0.293 0.543 0.586 1
Al1 0.500 0.500 0.000 1
Al2 0.500 0.000 0.000 1
Ag1 0.590 0.840 0.181 1
Ag2 0.990 0.240 0.979 1
Ag3 0.935 0.131 0.256 1
Ag4 0.321 0.624 0.256 1
Ag5 0.321 0.131 0.256 1
Ag6 0.935 0.624 0.256 1
Ag7 0.410 0.160 0.819 1
Ag8 0.010 0.760 0.021 1
Ag9 0.065 0.869 0.744 1
Ag10 0.679 0.376 0.744 1
Ag11 0.679 0.869 0.744 1
Ag12 0.065 0.376 0.744 1
```